Material: Zn2NF
Method: DFT, PBE
State: relaxed

For the uncorrected formation energy, the calculation gives -618 meV per atom. The magnetic moment is 0.00 μB/atom.

The space group is R3m (No. 160, hexagonal axes) and the conventional cell measures 3.2055, 3.2055 and 16.7334 Å, with angles of 90.00, 90.00 and 120.00 degrees. Symmetry generates all atoms from Zn at (0.0000, 0.0000, 0.0000), Zn at (0.0000, 0.0000, 0.2124), N at (0.0000, 0.0000, 0.6174) and F at (0.0000, 0.0000, 0.8042).